No. 1
Compound: MgGaNi2
Source: OQMD
Functional: PBE
Structure: optimized geometry

The calculation puts the total energy at -4.260 eV/atom.

It has space group P4/mmm (No. 123), with a = 2.9635 Å, b = 2.9635 Å, c = 6.0173 Å, α = 90.00°, β = 90.00° and γ = 90.00°. The inequivalent atoms are Mg at (0.0000, 0.0000, 0.0000), Ga at (0.0000, 0.0000, 0.5000) and Ni at (0.5000, 0.5000, 0.2769).


No. 2
Compound: MgGaNi2
Source: OQMD
Functional: PBE
Structure: optimized geometry

The calculation puts the total energy at -4.103 eV/atom.

It has space group F-43m (No. 216), with a = 5.9429 Å, b = 5.9429 Å, c = 5.9429 Å, α = 90.00°, β = 90.00° and γ = 90.00°. The inequivalent atoms are Mg at (0.0000, 0.0000, 0.0000), Ga at (0.2500, 0.2500, 0.7500), Ni at (0.0000, 0.0000, 0.5000) and Ni at (0.2500, 0.2500, 0.2500).


No. 3
Compound: MgGaNi2
Source: OQMD
Functional: PBE
Structure: optimized geometry

The calculation puts the total energy at -4.253 eV/atom.

It has space group P6_3/mmc (No. 194), with a = 4.0805 Å, b = 4.0805 Å, c = 7.8603 Å, α = 90.00°, β = 90.00° and γ = 120.00°. The inequivalent atoms are Mg at (0.3333, 0.6667, 0.2500), Ga at (0.0000, 0.0000, 0.0000) and Ni at (0.3333, 0.6667, 0.5781).


No. 4
Compound: MgGaNiPd
Source: OQMD
Functional: PBE
Structure: optimized geometry

The polymorph energy (0 for the lowest one) comes out at 0.000 eV per atom.

It has space group F-43m (No. 216), with a = 6.1132 Å, b = 6.1132 Å, c = 6.1132 Å, α = 90.00°, β = 90.00° and γ = 90.00°. The inequivalent atoms are Mg at (0.0000, 0.0000, 0.0000), Ga at (0.0000, 0.0000, 0.5000), Ni at (0.2500, 0.2500, 0.7500) and Pd at (0.2500, 0.2500, 0.2500).


No. 5
Compound: MgGa2NiPd4
Source: OQMD
Functional: PBE
Structure: optimized geometry

The calculation puts the total energy at -4.807 eV/atom.

It has space group P4/mmm (No. 123), with a = 4.2332 Å, b = 4.2332 Å, c = 6.4476 Å, α = 90.00°, β = 90.00° and γ = 90.00°. The inequivalent atoms are Mg at (0.0000, 0.0000, 0.0000), Ga at (0.0000, 0.0000, 0.5000), Ga at (0.5000, 0.5000, 0.0000), Ni at (0.5000, 0.5000, 0.5000) and Pd at (0.0000, 0.5000, 0.2559).


No. 6
Compound: MgGa2NiPt4
Source: OQMD
Functional: PBE
Structure: optimized geometry

The calculation puts the total energy at -5.292 eV/atom.

It has space group P4/mmm (No. 123), with a = 4.1119 Å, b = 4.1119 Å, c = 6.8294 Å, α = 90.00°, β = 90.00° and γ = 90.00°. The inequivalent atoms are Mg at (0.0000, 0.0000, 0.0000), Ga at (0.0000, 0.0000, 0.5000), Ga at (0.5000, 0.5000, 0.0000), Ni at (0.5000, 0.5000, 0.5000) and Pt at (0.0000, 0.5000, 0.2556).